(1)
AlBO3 | the Alexandria database | SCAN | single point on PBEsol structure; symmetry = No. 167; calculated volume = 79 Å³/cell; density of states at the Fermi level = 0.00 states/eV/f.u.; energy relative to the elements, uncorrected = -15.05 eV/f.u.
1.0
-0.630 2.532 3.637
-2.718 -1.410 3.266
2.415 -1.689 4.349
B Al O
2 2 6
Cartesian
-0.700 -0.425 8.439
-0.233 -0.142 2.813
-0.467 -0.283 5.626
0.000 0.000 0.000
0.576 -1.739 4.917
1.178 0.549 6.183
-0.428 0.641 3.937
-1.509 1.172 6.336
-2.111 -1.116 5.069
-0.505 -1.208 7.315

---

(2)
YNi2Pt | the Alexandria database | SCAN | single point on PBEsol structure; symmetry = No. 119; calculated volume = 60 Å³/cell; density of states at the Fermi level = 4.18 states/eV/f.u.; ΔH_f (0 K) = -0.4431 eV per atom
1.0
-2.892 -1.699 1.950
-0.897 -2.086 -3.148
4.389 -0.983 1.794
Ni Pt Y
2 1 1
Cartesian
0.001 -0.001 0.001
-0.201 -2.285 1.571
-1.894 -1.892 -0.599
0.799 -2.482 -0.976

---

(3)
ZnNiAu2 | the Alexandria database | SCAN | single point on PBEsol structure; symmetry = No. 139; calculated volume = 57 Å³/cell; density of states at the Fermi level = 1.85 states/eV/f.u.; ΔH_f (0 K) = -0.1162 eV per atom
1.0
-0.809 1.611 3.649
-3.474 -0.466 -2.834
-2.600 -3.037 0.764
Ni Zn Au
1 1 2
Cartesian
0.000 0.000 0.000
-1.704 -0.713 2.207
-2.589 -0.590 -0.314
-4.293 -1.302 1.893

---

(4)
LaCo2Tc | the Alexandria database | SCAN | single point on PBEsol structure; symmetry = No. 123; calculated volume = 63 Å³/cell; density of states at the Fermi level = 3.73 states/eV/f.u.; ΔH_f (0 K) = 0.2316 eV per atom; distance to the lowest polymorph of the same formula = 0 meV/atom
1.0
2.996 0.000 0.000
0.000 2.996 0.000
0.000 0.000 7.005
Co Tc La
2 1 1
Cartesian
0.000 0.000 4.791
0.000 0.000 2.214
1.498 1.498 3.502
1.498 1.498 0.000